Record 1
4
Lattice="-4.746 -0.716 -0.461 -2.635 -1.243 3.842 -3.110 3.150 1.912" Properties=species:S:1:pos:R:3 comment="GdCuRhPb PBE relaxed" spacegroup="No. 216" vol_a3_per_atom=19.82 dft_energy_ev_per_atom=-7.629 magmom_total_mub_per_fu=7.1 delta_e_f_ev_per_atom=-0.3193 pbc="T T T"
Pb -7.868 0.893 3.970
Gd -2.623 0.298 1.323
Rh 0.000 0.000 0.000
Cu -5.245 0.595 2.647


Record 2
4
Lattice="-2.609 4.266 0.931 -4.559 0.712 -2.141 -4.205 -0.163 2.857" Properties=species:S:1:pos:R:3 comment="GdScCuPb PBE relaxed" spacegroup="No. 216" vol_a3_per_atom=23.26 dft_energy_ev_per_atom=-7.338 magmom_total_mub_per_fu=7.9 delta_e_f_ev_per_atom=-0.2839 pbc="T T T"
Pb 0.000 0.000 0.000
Sc -2.843 1.204 0.412
Gd -8.529 3.611 1.235
Cu -5.686 2.408 0.823


Record 3
4
Lattice="-4.388 -3.209 -0.042 0.340 -5.044 -2.000 -0.273 -4.275 3.347" Properties=species:S:1:pos:R:3 comment="SrGdCuPb PBE relaxed" spacegroup="No. 216" vol_a3_per_atom=28.40 dft_energy_ev_per_atom=-6.159 magmom_total_mub_per_fu=7.0 delta_e_f_ev_per_atom=-0.2670 pbc="T T T"
Pb -3.241 -9.396 0.979
Sr 0.000 0.000 0.000
Gd -2.161 -6.264 0.652
Cu -1.080 -3.132 0.326


Record 4
4
Lattice="4.934 0.000 0.000 2.467 4.273 0.000 2.467 1.424 4.028" Properties=species:S:1:pos:R:3 comment="GdZnCuPb PBE relaxed" spacegroup="No. 216" vol_a3_per_atom=21.23 dft_energy_ev_per_atom=-5.964 magmom_total_mub_per_fu=7.0 delta_e_f_ev_per_atom=-0.1744 pbc="T T T"
Pb 4.934 2.849 2.014
Zn 7.401 4.273 3.021
Gd 0.000 0.000 0.000
Cu 2.467 1.424 1.007


Record 5
6
Lattice="5.317 0.000 0.000 2.659 4.605 0.000 2.659 1.535 4.341" Properties=species:S:1:pos:R:3 comment="GdCuPd4 PBE relaxed" spacegroup="No. 216" vol_a3_per_atom=17.72 dft_energy_ev_per_atom=-6.923 magmom_total_mub_per_fu=7.1 delta_e_f_ev_per_atom=-0.4318 pbc="T T T"
Gd 2.659 1.535 1.085
Cu 0.000 0.000 0.000
Pd 5.317 3.070 0.537
Pd 5.317 1.530 2.715
Pd 6.651 3.840 2.715
Pd 3.983 3.840 2.715


Record 6
4
Lattice="-2.494 4.035 1.693 -3.475 -0.519 3.608 0.900 1.755 4.634" Properties=species:S:1:pos:R:3 comment="PmGdCuPd PBE relaxed" spacegroup="No. 216" vol_a3_per_atom=22.59 dft_energy_ev_per_atom=-7.524 magmom_total_mub_per_fu=7.2 delta_e_f_ev_per_atom=-0.4940 pbc="T T T"
Gd -2.535 2.636 4.968
Cu -1.267 1.318 2.484
Pd -3.802 3.954 7.452
Pm 0.000 0.000 0.000


Record 7
4
Lattice="4.671 0.000 0.000 2.336 4.046 0.000 2.336 1.349 3.814" Properties=species:S:1:pos:R:3 comment="GdCuPdPt PBE relaxed" spacegroup="No. 216" vol_a3_per_atom=18.02 dft_energy_ev_per_atom=-7.958 magmom_total_mub_per_fu=7.1 delta_e_f_ev_per_atom=-0.6048 pbc="T T T"
Gd 0.000 0.000 0.000
Pd 2.336 1.349 0.954
Pt 7.007 4.046 2.861
Cu 4.671 2.697 1.907


Record 8
4
Lattice="-1.049 3.835 -3.129 -4.700 0.606 -1.772 -2.829 3.874 1.606" Properties=species:S:1:pos:R:3 comment="GdThCuPd PBE relaxed" spacegroup="No. 216" vol_a3_per_atom=22.89 dft_energy_ev_per_atom=-8.117 magmom_total_mub_per_fu=7.4 delta_e_f_ev_per_atom=-0.4194 pbc="T T T"
Gd 0.000 0.000 0.000
Pd -6.434 6.236 -2.471
Th -4.289 4.157 -1.647
Cu -2.145 2.079 -0.824


Record 9
4
Lattice="4.739 0.000 0.000 2.370 4.104 0.000 2.370 1.368 3.870" Properties=species:S:1:pos:R:3 comment="GdTiCuPd PBE relaxed" spacegroup="No. 216" vol_a3_per_atom=18.82 dft_energy_ev_per_atom=-8.064 magmom_total_mub_per_fu=8.4 delta_e_f_ev_per_atom=-0.2475 pbc="T T T"
Gd 7.109 4.104 2.902
Cu 4.739 2.736 1.935
Pd 0.000 0.000 0.000
Ti 2.370 1.368 0.967


Record 10
4
Lattice="5.006 0.000 0.000 2.503 4.335 0.000 2.503 1.445 4.087" Properties=species:S:1:pos:R:3 comment="PmGdCu2 PBE relaxed" spacegroup="No. 225" vol_a3_per_atom=22.17 dft_energy_ev_per_atom=-6.939 magmom_total_mub_per_fu=7.3 delta_e_f_ev_per_atom=-0.1833 relative_energy_ev_per_atom=0.006 pbc="T T T"
Gd 5.006 2.890 2.044
Cu 7.509 4.335 3.065
Cu 2.503 1.445 1.022
Pm 0.000 0.000 0.000


Record 11
3
Lattice="4.927 0.000 0.000 2.464 4.267 0.000 2.464 1.422 4.023" Properties=species:S:1:pos:R:3 comment="PmGdCu PBE relaxed" spacegroup="No. 216" vol_a3_per_atom=28.20 dft_energy_ev_per_atom=-7.567 magmom_total_mub_per_fu=8.0 delta_e_f_ev_per_atom=0.0761 relative_energy_ev_per_atom=0.179 pbc="T T T"
Gd 0.000 0.000 0.000
Cu 2.464 1.422 1.006
Pm 4.927 2.845 2.012


Record 12
4
Lattice="-2.590 -1.000 2.458 3.896 -1.359 3.552 -0.057 5.064 2.000" Properties=species:S:1:pos:R:3 comment="Pm2GdCu PBE relaxed" spacegroup="No. 123" vol_a3_per_atom=27.48 dft_energy_ev_per_atom=-6.802 magmom_total_mub_per_fu=7.1 delta_e_f_ev_per_atom=0.1172 relative_energy_ev_per_atom=0.172 pbc="T T T"
Gd 0.625 1.352 4.005
Cu -1.295 -0.500 1.229
Pm -0.028 2.532 1.000
Pm 1.948 -0.680 1.776


Record 13
3
Lattice="3.572 0.000 0.000 0.000 3.572 0.000 -1.786 -1.786 6.147" Properties=species:S:1:pos:R:3 comment="PmGdCu PBE relaxed" spacegroup="No. 107" vol_a3_per_atom=26.14 dft_energy_ev_per_atom=-7.745 magmom_total_mub_per_fu=7.9 delta_e_f_ev_per_atom=-0.1029 relative_energy_ev_per_atom=0.000 pbc="T T T"
Gd 0.000 0.000 0.337
Cu 1.786 1.786 2.022
Pm 0.000 0.000 3.788


Record 14
3
Lattice="-2.411 -2.092 -2.063 3.437 -3.349 -0.621 -2.997 -0.282 3.789" Properties=species:S:1:pos:R:3 comment="PmGdCu PBE relaxed" spacegroup="No. 156" vol_a3_per_atom=25.69 dft_energy_ev_per_atom=-7.582 magmom_total_mub_per_fu=7.3 delta_e_f_ev_per_atom=0.0605 relative_energy_ev_per_atom=0.163 pbc="T T T"
Gd -0.157 -3.584 -0.391
Cu -1.686 -2.028 1.605
Pm -0.127 -0.110 -0.109


Record 15
4
Lattice="-2.974 1.239 -1.451 -0.782 -0.772 -3.358 -6.637 -8.870 1.727" Properties=species:S:1:pos:R:3 comment="Pm2GdCu PBE relaxed" spacegroup="No. 166" vol_a3_per_atom=29.79 dft_energy_ev_per_atom=-6.687 magmom_total_mub_per_fu=8.1 delta_e_f_ev_per_atom=0.2330 relative_energy_ev_per_atom=0.287 pbc="T T T"
Gd 0.000 0.000 0.000
Cu -5.196 -4.202 -1.540
Pm -4.975 -6.085 0.700
Pm -5.418 -2.319 -3.781


Record 16
4
Lattice="-2.141 -0.569 2.836 1.441 -3.269 0.432 6.059 3.364 5.249" Properties=species:S:1:pos:R:3 comment="Pm2GdCu PBE relaxed" spacegroup="No. 123" vol_a3_per_atom=28.14 dft_energy_ev_per_atom=-6.974 magmom_total_mub_per_fu=7.6 delta_e_f_ev_per_atom=-0.0544 relative_energy_ev_per_atom=0.000 pbc="T T T"
Gd 2.679 -0.237 4.258
Cu -0.350 -1.919 1.634
Pm 4.849 2.692 4.200
Pm 1.210 0.672 1.048


Record 17
4
Lattice="3.537 0.000 0.000 0.000 3.537 0.000 0.000 0.000 7.071" Properties=species:S:1:pos:R:3 comment="PmGdCu2 PBE relaxed" spacegroup="No. 123" vol_a3_per_atom=22.11 dft_energy_ev_per_atom=-6.945 magmom_total_mub_per_fu=7.2 delta_e_f_ev_per_atom=-0.1892 relative_energy_ev_per_atom=0.000 pbc="T T T"
Gd 1.768 1.768 0.000
Cu 0.000 0.000 5.355
Cu 0.000 0.000 1.715
Pm 1.768 1.768 3.535


Record 18
4
Lattice="5.020 0.000 0.000 2.510 4.347 0.000 2.510 1.449 4.099" Properties=species:S:1:pos:R:3 comment="PmGdCuPt PBE relaxed" spacegroup="No. 216" vol_a3_per_atom=22.36 dft_energy_ev_per_atom=-7.926 magmom_total_mub_per_fu=7.1 delta_e_f_ev_per_atom=-0.6837 pbc="T T T"
Gd 5.020 2.898 2.049
Cu 2.510 1.449 1.025
Pt 7.530 4.347 3.074
Pm 0.000 0.000 0.000


Record 19
4
Lattice="4.972 0.000 0.000 2.486 4.306 0.000 2.486 1.435 4.060" Properties=species:S:1:pos:R:3 comment="PmGdCuRh PBE relaxed" spacegroup="No. 216" vol_a3_per_atom=21.73 dft_energy_ev_per_atom=-8.045 magmom_total_mub_per_fu=7.2 delta_e_f_ev_per_atom=-0.4750 pbc="T T T"
Gd 4.972 2.871 2.030
Rh 7.458 4.306 3.045
Cu 2.486 1.435 1.015
Pm 0.000 0.000 0.000


Record 20
4
Lattice="5.227 0.000 0.000 2.614 4.527 0.000 2.614 1.509 4.268" Properties=species:S:1:pos:R:3 comment="PmGdCuSb PBE relaxed" spacegroup="No. 216" vol_a3_per_atom=25.25 raw_formation_energy_mev_per_atom=-511 dft_energy_ev_per_atom=-7.274 magmom_total_mub_per_fu=7.7 pbc="T T T"
Sb 0.000 0.000 0.000
Gd 2.614 1.509 1.067
Cu 5.227 3.018 2.134
Pm 7.841 4.527 3.201


Record 21
4
Lattice="-4.928 -0.868 1.497 -1.339 -4.627 2.019 -1.155 -0.398 5.079" Properties=species:S:1:pos:R:3 comment="PmGdScCu PBE relaxed" spacegroup="No. 216" vol_a3_per_atom=25.19 dft_energy_ev_per_atom=-7.182 magmom_total_mub_per_fu=7.4 delta_e_f_ev_per_atom=0.1325 pbc="T T T"
Sc -5.567 -4.420 6.446
Gd 0.000 0.000 0.000
Cu -1.856 -1.473 2.149
Pm -3.712 -2.947 4.297


Record 22
4
Lattice="-0.804 -2.589 4.236 -0.446 -5.007 -0.159 3.637 -2.910 1.897" Properties=species:S:1:pos:R:3 comment="PmGdCuSi PBE relaxed" spacegroup="No. 216" vol_a3_per_atom=22.49 raw_formation_energy_mev_per_atom=-405 dft_energy_ev_per_atom=-7.492 magmom_total_mub_per_fu=7.7 pbc="T T T"
Si 1.790 -7.880 4.481
Gd 1.193 -5.253 2.987
Cu 0.597 -2.627 1.494
Pm 0.000 0.000 0.000


Record 23
4
Lattice="5.241 0.000 0.000 2.621 4.539 0.000 2.621 1.513 4.279" Properties=species:S:1:pos:R:3 comment="PmGdCuSn PBE relaxed" spacegroup="No. 216" vol_a3_per_atom=25.45 dft_energy_ev_per_atom=-7.172 magmom_total_mub_per_fu=7.8 delta_e_f_ev_per_atom=-0.4394 pbc="T T T"
Gd 5.241 3.026 2.140
Sn 2.621 1.513 1.070
Cu 7.862 4.539 3.210
Pm 0.000 0.000 0.000


Record 24
4
Lattice="4.954 0.000 0.000 2.477 4.290 0.000 2.477 1.430 4.045" Properties=species:S:1:pos:R:3 comment="PmGdCuTc PBE relaxed" spacegroup="No. 216" vol_a3_per_atom=21.49 dft_energy_ev_per_atom=-8.329 magmom_total_mub_per_fu=7.0 delta_e_f_ev_per_atom=-0.0058 pbc="T T T"
Gd 4.954 2.860 2.022
Tc 7.431 4.290 3.034
Cu 2.477 1.430 1.011
Pm 0.000 0.000 0.000


Record 25
3
Lattice="-1.014 -2.328 2.683 3.507 0.070 -1.157 1.512 4.972 4.887" Properties=species:S:1:pos:R:3 comment="PrGdCu PBE relaxed" spacegroup="No. 156" vol_a3_per_atom=28.10 dft_energy_ev_per_atom=-7.594 magmom_total_mub_per_fu=7.3 delta_e_f_ev_per_atom=0.0578 relative_energy_ev_per_atom=0.149 pbc="T T T"
Pr 0.065 0.212 0.209
Gd 2.934 2.339 3.138
Cu 1.008 0.163 3.066


Record 26
3
Lattice="4.963 0.000 0.000 2.482 4.298 0.000 2.482 1.433 4.053" Properties=species:S:1:pos:R:3 comment="PrGdCu PBE relaxed" spacegroup="No. 216" vol_a3_per_atom=28.82 dft_energy_ev_per_atom=-7.571 magmom_total_mub_per_fu=8.1 delta_e_f_ev_per_atom=0.0811 relative_energy_ev_per_atom=0.172 pbc="T T T"
Pr 4.963 2.866 2.026
Gd 0.000 0.000 0.000
Cu 2.482 1.433 1.013


Record 27
3
Lattice="3.601 0.000 0.000 0.000 3.601 0.000 -1.800 -1.800 6.184" Properties=species:S:1:pos:R:3 comment="PrGdCu PBE relaxed" spacegroup="No. 107" vol_a3_per_atom=26.72 dft_energy_ev_per_atom=-7.743 magmom_total_mub_per_fu=7.8 delta_e_f_ev_per_atom=-0.0912 relative_energy_ev_per_atom=0.000 pbc="T T T"
Pr 0.000 0.000 0.284
Gd 0.000 0.000 3.758
Cu 1.800 1.800 2.141


Record 28
5
Lattice="-4.289 3.163 1.213 -2.528 -1.687 -4.542 -2.254 -4.126 2.787" Properties=species:S:1:pos:R:3 comment="PrGd3Cu PBE relaxed" spacegroup="No. 221" vol_a3_per_atom=32.65 dft_energy_ev_per_atom=-10.119 magmom_total_mub_per_fu=21.7 delta_e_f_ev_per_atom=0.1050 pbc="T T T"
Pr -4.536 -1.325 -0.271
Gd -1.264 -0.843 -2.271
Gd -1.127 -2.063 1.393
Gd -2.145 1.581 0.607
Cu 0.000 0.000 0.000


Record 29
4
Lattice="-1.610 4.147 -2.238 -3.706 2.642 2.021 0.934 4.449 2.032" Properties=species:S:1:pos:R:3 comment="PrGdCuRu PBE relaxed" spacegroup="No. 216" vol_a3_per_atom=21.82 dft_energy_ev_per_atom=-8.256 magmom_total_mub_per_fu=7.0 delta_e_f_ev_per_atom=-0.1979 pbc="T T T"
Pr 0.000 0.000 0.000
Ru -3.286 8.428 1.361
Gd -2.191 5.619 0.908
Cu -1.095 2.809 0.454


Record 30
4
Lattice="-1.831 1.866 -4.341 1.240 -2.165 -4.411 -3.477 -2.603 -2.610" Properties=species:S:1:pos:R:3 comment="PrGdCuSi PBE relaxed" spacegroup="No. 216" vol_a3_per_atom=23.00 raw_formation_energy_mev_per_atom=-384 dft_energy_ev_per_atom=-7.479 magmom_total_mub_per_fu=7.7 pbc="T T T"
Pr -2.034 -1.451 -5.681
Si -3.051 -2.176 -8.522
Gd 0.000 0.000 0.000
Cu -1.017 -0.725 -2.841


Record 31
6
Lattice="-2.240 4.485 -0.155 -4.587 0.446 -1.980 -3.932 0.944 2.968" Properties=species:S:1:pos:R:3 comment="GdCu4Pt PBE relaxed" spacegroup="No. 216" vol_a3_per_atom=14.87 dft_energy_ev_per_atom=-6.460 magmom_total_mub_per_fu=7.4 delta_e_f_ev_per_atom=-0.3757 pbc="T T T"
Gd -2.690 1.469 0.209
Cu -4.754 3.202 -0.973
Cu -4.423 3.453 1.520
Cu -6.735 3.677 0.522
Cu -5.606 1.417 0.600
Pt 0.000 0.000 0.000